[1]
This record from Alexandria describes a geometry-optimized PuThPb2 structure. The functional is GGA-PBE.

Properties
**Total magnetic moment**: 6.50 μB/f.u.
**Excess energy over the best structure of this formula in the dataset**: 0.1190 eV per atom
**Formation energy from the elements**: -0.107 eV per atom
**SG**: Fm-3m (225)

POSCAR file:
```
PuThPb2
1.0
-2.180 -4.213 -2.826
2.918 -2.445 -4.000
1.944 -5.116 0.733
Pu Th Pb
1 1 2
direct
0.500 0.500 0.500
0.000 0.000 0.000
0.750 0.750 0.750
0.250 0.250 0.250
```

---

[2]
This record from Alexandria describes a geometry-optimized Li4Np3TlO12 structure. The functional is GGA-PBE.

Properties
**Total magnetic moment**: 2.00 μB/f.u.
**SG**: R32 (155)
**Raw total energy**: -155.29 eV for the cell shown

POSCAR file:
```
Li4Np3TlO12
1.0
-2.110 0.094 6.830
-5.600 -2.234 -3.842
5.002 -5.081 -0.527
Li O Np Tl
4 12 3 1
direct
0.063 0.500 0.937
0.500 0.500 0.500
0.500 0.937 0.063
0.937 0.063 0.500
0.667 0.500 0.333
0.892 0.500 0.108
0.046 0.630 0.737
0.954 0.263 0.370
0.500 0.108 0.892
0.630 0.737 0.046
0.108 0.892 0.500
0.263 0.370 0.954
0.737 0.046 0.630
0.333 0.667 0.500
0.370 0.954 0.263
0.500 0.333 0.667
0.560 0.440 0.000
0.000 0.560 0.440
0.440 0.000 0.560
0.000 0.000 0.000
```